A plane-wave DFT calculation with PBE+U was carried out for crystalline Rb2Pr2MoO6 at its relaxed geometry.

Cell and atoms, written as extended XYZ:
```
11
Lattice="6.0714 0.0260 0.1074 -2.9783 5.2908 0.1074 -1.0506 -1.8059 6.6135" Properties=species:S:1:pos:R:3 pbc="T T T"
Pr 2.5009 0.8946 3.4142
Pr -0.4584 2.6162 3.4142
O 0.4308 0.7406 2.2203
O 0.7860 4.4567 2.4002
O -1.4433 0.6248 4.4281
O 1.2565 -0.9458 4.4281
O 1.6117 2.7703 4.6080
O 3.4858 2.8861 2.4002
Rb -1.5219 4.4435 0.1074
Rb 4.6150 0.8732 0.1074
Mo -0.5253 -0.9030 3.3067
```

calculated total energy = -73.7 eV/cell
magnetization = 2.000 Bohr magnetons per cell
SG = C2/m
N(E_F) = 0.0 states/eV/cell